No. 1
Compound: TiCN2
Source: the Alexandria database
Functional: GGA-PBE
Structure: optimized geometry

Properties
**Theoretical density**: 4.589 g/cm³
**Total magnetic moment**: 0.00 μB per formula unit
**Uncorrected formation energy**: 0.14 eV/atom

Geometry as POSCAR:
```
TiCN2
1.0
4.567 0.000 0.000
0.000 4.567 0.000
2.284 2.284 3.049
C N Ti
2 4 2
Direct
0.500 0.500 0.000 C
0.250 0.750 0.500 C
0.512 0.125 0.250 N
0.238 0.625 0.250 N
0.375 0.488 0.750 N
0.875 0.762 0.750 N
0.000 0.000 0.000 Ti
0.750 0.250 0.500 Ti
```


No. 2
Compound: Ti6Zn2CN
Source: the Alexandria database
Functional: GGA-PBE
Structure: optimized geometry

Properties
**Theoretical density**: 5.197 g/cm³
**Total magnetic moment**: 0.00 μB per formula unit
**Uncorrected formation energy**: -0.69 eV/atom

Geometry as POSCAR:
```
Ti6Zn2CN
1.0
-3.746 -3.901 -2.241
4.495 -3.370 -1.648
-0.271 -3.924 7.285
Ti Zn C N
12 4 2 2
Direct
0.500 0.250 0.250 Ti
0.500 0.250 0.750 Ti
0.000 0.750 0.250 Ti
0.000 0.750 0.750 Ti
0.251 0.000 0.500 Ti
0.749 0.000 0.500 Ti
0.251 0.499 0.500 Ti
0.749 0.499 0.500 Ti
0.751 0.501 0.000 Ti
0.249 0.501 0.000 Ti
0.249 0.000 0.000 Ti
0.751 0.000 0.000 Ti
0.500 0.750 0.250 Zn
0.000 0.250 0.750 Zn
0.500 0.750 0.750 Zn
0.000 0.250 0.250 Zn
0.000 0.750 0.500 C
0.500 0.250 0.000 C
0.500 0.250 0.500 N
0.000 0.750 0.000 N
```


No. 3
Compound: ZrTiCN
Source: the Alexandria database
Functional: GGA-PBE
Structure: optimized geometry

Properties
**Excess energy over the best structure of this formula in the dataset**: 329.9 meV/atom
**Theoretical density**: 5.841 g/cm³
**Total magnetic moment**: 0.00 μB per formula unit
**Uncorrected formation energy**: -0.90 eV/atom

Geometry as POSCAR:
```
ZrTiCN
1.0
3.164 0.000 0.001
-1.581 2.740 0.000
-1.580 -0.913 5.414
Zr Ti C N
1 1 1 1
Direct
0.312 0.554 0.882 Zr
0.965 0.380 0.360 Ti
0.461 0.128 0.605 C
0.140 0.968 0.123 N
```


No. 4
Compound: ZrTiCN
Source: the Alexandria database
Functional: GGA-PBE
Structure: optimized geometry

Properties
**Excess energy over the best structure of this formula in the dataset**: 0.0 meV/atom
**Theoretical density**: 6.037 g/cm³
**Total magnetic moment**: 0.00 μB per formula unit
**Uncorrected formation energy**: -1.23 eV/atom

Geometry as POSCAR:
```
ZrTiCN
1.0
-0.060 -5.097 2.042
1.285 -3.236 4.246
-1.883 -3.317 3.950
C N Zr Ti
1 1 1 1
Direct
0.006 0.006 0.006 C
0.495 0.495 0.495 N
0.250 0.250 0.250 Zr
0.749 0.749 0.749 Ti
```


No. 5
Compound: Zr2TiCN
Source: the Alexandria database
Functional: GGA-PBE
Structure: optimized geometry

Properties
**Theoretical density**: 5.695 g/cm³
**Total magnetic moment**: 0.00 μB per formula unit
**Uncorrected formation energy**: -0.78 eV/atom

Geometry as POSCAR:
```
Zr2TiCN
1.0
3.293 0.000 0.000
0.000 3.848 0.000
-1.646 -1.924 5.899
Zr Ti C N
2 1 1 1
Direct
0.272 0.272 0.544 Zr
0.984 0.984 0.967 Zr
0.629 0.629 0.258 Ti
0.456 0.456 0.913 C
0.642 0.142 0.284 N
```


No. 6
Compound: Tl3CN
Source: the Alexandria database
Functional: GGA-PBE
Structure: optimized geometry

Properties
**Excess energy over the best structure of this formula in the dataset**: 0.0 meV/atom
**Theoretical density**: 9.698 g/cm³
**Total magnetic moment**: 0.00 μB per formula unit
**Uncorrected formation energy**: 1.77 eV/atom

Geometry as POSCAR:
```
Tl3CN
1.0
4.783 0.000 0.000
0.000 4.783 0.000
0.000 0.000 4.783
Tl C N
3 1 1
Direct
0.000 0.500 0.000 Tl
0.000 0.000 0.500 Tl
0.500 0.000 0.000 Tl
0.000 0.000 0.000 C
0.500 0.500 0.500 N
```


No. 7
Compound: Tl2CN
Source: the Alexandria database
Functional: GGA-PBE
Structure: optimized geometry

Properties
**Excess energy over the best structure of this formula in the dataset**: 0.0 meV/atom
**Theoretical density**: 9.668 g/cm³
**Total magnetic moment**: 0.00 μB per formula unit
**Uncorrected formation energy**: 1.45 eV/atom

Geometry as POSCAR:
```
Tl2CN
1.0
-0.247 4.547 2.777
-3.241 -2.335 3.535
2.418 -0.393 5.982
Tl C N
4 2 2
Direct
0.623 0.125 0.250 Tl
0.127 0.625 0.250 Tl
0.375 0.377 0.750 Tl
0.875 0.873 0.750 Tl
0.500 0.500 0.000 C
0.250 0.750 0.500 C
0.000 0.000 0.000 N
0.750 0.250 0.500 N
```


No. 8
Compound: TlC3N
Source: the Alexandria database
Functional: GGA-PBE
Structure: optimized geometry

Properties
**Excess energy over the best structure of this formula in the dataset**: 0.0 meV/atom
**Theoretical density**: 8.015 g/cm³
**Total magnetic moment**: 0.00 μB per formula unit
**Uncorrected formation energy**: 3.40 eV/atom

Geometry as POSCAR:
```
TlC3N
1.0
-0.614 -1.846 -3.205
0.808 -3.238 1.710
-3.609 -0.411 0.928
Tl C N
1 3 1
Direct
0.500 0.500 0.500 Tl
0.000 0.500 0.000 C
0.000 0.000 0.500 C
0.500 0.000 0.000 C
0.000 0.000 0.000 N
```


No. 9
Compound: TlCN
Source: the Alexandria database
Functional: GGA-PBE
Structure: optimized geometry

Properties
**Theoretical density**: 7.849 g/cm³
**Total magnetic moment**: 0.00 μB per formula unit
**Uncorrected formation energy**: 1.10 eV/atom

Geometry as POSCAR:
```
TlCN
1.0
2.736 0.000 0.000
0.000 6.358 -0.966
-1.368 -2.848 6.037
C Tl N
2 2 2
Direct
0.225 0.852 0.450 C
0.775 0.148 0.550 C
0.895 0.703 0.789 Tl
0.105 0.297 0.211 Tl
0.322 0.120 0.644 N
0.678 0.880 0.356 N
```


No. 10
Compound: TlC2N2
Source: the Alexandria database
Functional: GGA-PBE
Structure: optimized geometry

Properties
**Excess energy over the best structure of this formula in the dataset**: 429.8 meV/atom
**Theoretical density**: 6.413 g/cm³
**Total magnetic moment**: 0.00 μB per formula unit
**Uncorrected formation energy**: 1.93 eV/atom

Geometry as POSCAR:
```
TlC2N2
1.0
-1.833 -0.792 2.366
-0.972 -2.478 -1.583
3.738 -5.392 3.116
Tl C N
1 2 2
Direct
0.000 0.000 0.000 Tl
0.750 0.250 0.500 C
0.250 0.750 0.500 C
0.210 0.210 0.580 N
0.790 0.790 0.420 N
```


No. 11
Compound: TlCN3
Source: the Alexandria database
Functional: GGA-PBE
Structure: optimized geometry

Properties
**Theoretical density**: 9.418 g/cm³
**Total magnetic moment**: 0.00 μB per formula unit
**Uncorrected formation energy**: 2.66 eV/atom

Geometry as POSCAR:
```
TlCN3
1.0
3.572 0.000 0.000
0.000 3.572 0.000
0.000 0.000 3.572
Tl C N
1 1 3
Direct
0.500 0.500 0.500 Tl
0.000 0.000 0.000 C
0.000 0.500 0.000 N
0.000 0.000 0.500 N
0.500 0.000 0.000 N
```


No. 12
Compound: TlCN3
Source: the Alexandria database
Functional: GGA-PBE
Structure: optimized geometry

Properties
**Theoretical density**: 5.178 g/cm³
**Total magnetic moment**: 3.45 μB per formula unit
**Uncorrected formation energy**: 3.81 eV/atom

Geometry as POSCAR:
```
TlCN3
1.0
-1.719 -3.931 0.776
3.321 -0.925 2.669
-2.241 1.644 3.359
Tl C N
1 1 3
Direct
0.000 0.000 0.000 Tl
0.500 0.500 0.500 C
0.000 0.500 0.000 N
0.000 0.000 0.500 N
0.500 0.000 0.000 N
```


No. 13
Compound: Tl2CN
Source: the Alexandria database
Functional: GGA-PBE
Structure: optimized geometry

Properties
**Excess energy over the best structure of this formula in the dataset**: 724.0 meV/atom
**Theoretical density**: 10.646 g/cm³
**Total magnetic moment**: 2.31 μB per formula unit
**Uncorrected formation energy**: 2.17 eV/atom

Geometry as POSCAR:
```
Tl2CN
1.0
0.000 3.237 3.237
3.237 0.000 3.237
3.237 3.237 0.000
Tl C N
2 1 1
Direct
0.250 0.250 0.250 Tl
0.750 0.750 0.750 Tl
0.000 0.000 0.000 C
0.500 0.500 0.500 N
```


No. 14
Compound: TlC2N2
Source: the Alexandria database
Functional: GGA-PBE
Structure: optimized geometry

Properties
**Excess energy over the best structure of this formula in the dataset**: 0.0 meV/atom
**Theoretical density**: 3.095 g/cm³
**Total magnetic moment**: 1.02 μB per formula unit
**Uncorrected formation energy**: 1.50 eV/atom

Geometry as POSCAR:
```
TlC2N2
1.0
6.884 0.000 0.000
0.000 6.884 0.000
0.000 0.000 5.806
Tl C N
2 4 4
Direct
0.000 0.000 0.000 Tl
0.500 0.500 0.000 Tl
0.065 0.565 0.500 C
0.565 0.935 0.500 C
0.935 0.435 0.500 C
0.435 0.065 0.500 C
0.443 0.943 0.000 N
0.943 0.557 0.000 N
0.557 0.057 0.000 N
0.057 0.443 0.000 N
```


No. 15
Compound: TlC3N
Source: the Alexandria database
Functional: GGA-PBE
Structure: optimized geometry

Properties
**Excess energy over the best structure of this formula in the dataset**: 1349.4 meV/atom
**Theoretical density**: 4.951 g/cm³
**Total magnetic moment**: 0.00 μB per formula unit
**Uncorrected formation energy**: 4.75 eV/atom

Geometry as POSCAR:
```
TlC3N
1.0
-1.867 -1.273 -3.778
-1.653 -3.549 2.013
-3.628 2.273 1.027
Tl C N
1 3 1
Direct
0.000 0.000 0.000 Tl
0.000 0.500 0.000 C
0.000 0.000 0.500 C
0.500 0.000 0.000 C
0.500 0.500 0.500 N
```


No. 16
Compound: Tm5CN4
Source: the Alexandria database
Functional: GGA-PBE
Structure: optimized geometry

Properties
**Theoretical density**: 10.655 g/cm³
**Total magnetic moment**: 0.00 μB per formula unit
**Uncorrected formation energy**: -1.45 eV/atom

Geometry as POSCAR:
```
Tm5CN4
1.0
4.347 0.000 2.097
2.174 5.429 1.048
-0.185 0.000 5.938
Tm C N
5 1 4
Direct
0.897 0.408 0.799 Tm
0.306 0.799 0.592 Tm
0.696 0.201 0.408 Tm
0.105 0.592 0.201 Tm
0.501 0.000 0.000 Tm
0.001 0.000 0.000 C
0.402 0.401 0.798 N
0.802 0.798 0.599 N
0.200 0.202 0.401 N
0.600 0.599 0.202 N
```


No. 17
Compound: Tm2C3N6
Source: the Alexandria database
Functional: GGA-PBE
Structure: optimized geometry

Properties
**Theoretical density**: 5.547 g/cm³
**Total magnetic moment**: 0.00 μB per formula unit
**Uncorrected formation energy**: -0.80 eV/atom

Geometry as POSCAR:
```
Tm2C3N6
1.0
7.339 0.008 -0.005
6.384 3.619 -0.005
0.538 0.142 5.171
Tm C N
2 3 6
Direct
0.866 0.866 0.569 Tm
0.134 0.134 0.431 Tm
0.329 0.329 0.093 C
0.671 0.671 0.907 C
0.000 0.000 0.000 C
0.988 0.988 0.238 N
0.012 0.012 0.762 N
0.690 0.690 0.666 N
0.310 0.310 0.334 N
0.656 0.656 0.141 N
0.344 0.344 0.859 N
```


No. 18
Compound: Tm8C3N
Source: the Alexandria database
Functional: GGA-PBE
Structure: optimized geometry

Properties
**Theoretical density**: 9.219 g/cm³
**Total magnetic moment**: 0.56 μB per formula unit
**Uncorrected formation energy**: -0.56 eV/atom

Geometry as POSCAR:
```
Tm8C3N
1.0
-1.820 6.665 -1.257
2.870 -3.879 -5.105
-6.688 -1.420 2.158
Tm C N
8 3 1
Direct
0.257 0.514 0.772 Tm
0.743 0.486 0.228 Tm
0.258 0.017 0.776 Tm
0.759 0.017 0.776 Tm
0.759 0.518 0.776 Tm
0.241 0.482 0.224 Tm
0.241 0.983 0.224 Tm
0.742 0.983 0.224 Tm
0.500 0.000 0.000 C
0.500 0.500 0.000 C
0.000 0.500 0.000 C
0.000 0.000 0.000 N
```


No. 19
Compound: TmCN3
Source: the Alexandria database
Functional: GGA-PBE
Structure: optimized geometry

Properties
**Theoretical density**: 6.386 g/cm³
**Total magnetic moment**: 0.00 μB per formula unit
**Uncorrected formation energy**: -0.22 eV/atom

Geometry as POSCAR:
```
TmCN3
1.0
-1.295 -3.106 -0.573
4.194 -1.094 -3.547
3.940 -0.674 4.867
Tm C N
2 2 6
Direct
0.848 0.750 0.196 Tm
0.152 0.250 0.804 Tm
0.588 0.750 0.676 C
0.412 0.250 0.324 C
0.344 0.058 0.190 N
0.656 0.942 0.810 N
0.344 0.442 0.190 N
0.656 0.558 0.810 N
0.476 0.750 0.454 N
0.524 0.250 0.546 N
```


No. 20
Compound: Tm4CN3
Source: the Alexandria database
Functional: GGA-PBE
Structure: optimized geometry

Properties
**Theoretical density**: 10.591 g/cm³
**Total magnetic moment**: 0.00 μB per formula unit
**Uncorrected formation energy**: -1.36 eV/atom

Geometry as POSCAR:
```
Tm4CN3
1.0
-1.781 3.650 -2.659
2.028 -1.908 -3.977
-4.035 -2.570 -0.825
C Tm N
1 4 3
Direct
0.000 0.000 0.000 C
0.500 0.000 0.000 Tm
0.000 0.500 0.000 Tm
0.000 0.000 0.500 Tm
0.500 0.500 0.500 Tm
0.000 0.500 0.500 N
0.500 0.000 0.500 N
0.500 0.500 0.000 N
```